The following is a PBE-GGA calculation of a relaxed structure of Sr6Hg5Ge, from the Alexandria database.

The energy relative to the elements is -539 meV per atom. As for the total energy: -1.890 eV per atom.

It has space group P2/m (No. 10), with a = 5.6021 Å, b = 8.0446 Å, c = 8.8778 Å, α = 90.00°, β = 108.46° and γ = 90.00°. Symmetry generates all atoms from Sr at (0.0000, 0.2432, 0.0000), Sr at (0.3371, 0.2483, 0.6740), Hg at (0.1674, 0.0000, 0.3352), Hg at (0.1682, 0.5000, 0.3374), Hg at (0.5000, 0.5000, 0.0000) and Ge at (0.5000, 0.0000, 0.0000).